# 1
A relaxed structure of Ca2NiRh, computed with GGA-PBE.

Results
total moment = 0.0 μB per cell
D(E_F) = 0.847 states/eV per atom
formation energy from the elements = -121 meV/atom

Cell: 11.4331 3.4256 4.6488 Å, 90.00 113.79 90.00°
Last column: nearest neighbours and their distance in Å.
Space group Cm (No. 8)
One atom of each set of equivalent atoms:
Ca 0.0000 0.0000 0.0000  4 Ni 2.94, 2 Ca 3.24
Ca 0.2164 0.0000 0.7148  4 Rh 2.94, 2 Ca 3.24, 2 Ni 3.29
Ni 0.4478 0.0000 0.4485  2 Rh 2.52
Rh 0.2714 0.5000 0.2695  2 Ni 2.52

# 2
A relaxed structure of Ce2SmOs, computed with GGA-PBE.

Results
total moment = 0.0 μB per cell
D(E_F) = 2.131 states/eV per atom
energy above the most stable polymorph in this dataset = 0 meV per atom
formation energy from the elements = -133 meV/atom

Cell: 14.4947 9.5202 6.1596 Å, 90.00 90.00 90.00°
Last column: nearest neighbours and their distance in Å.
Space group Pnma (No. 62)
One atom of each set of equivalent atoms:
Ce 0.0367 0.0577 0.2443  2 Os 2.74-2.80
Ce 0.2127 0.5626 0.9375  2 Os 2.73-2.75
Sm 0.1040 0.2500 0.7303  3 Os 3.09-3.32
Sm 0.1427 0.7500 0.4612  3 Os 3.06-3.39
Os 0.0716 0.7500 0.9855  4 Ce 2.73-2.80
Os 0.1765 0.2500 0.2187  4 Ce 2.74-2.75, 1 Sm 3.06

# 3
A relaxed structure of Fe2Ir, computed with GGA-PBE.

Results
total moment = 6.2 μB per cell
D(E_F) = 0.962 states/eV per atom
formation energy from the elements = 454 meV/atom

Cell: 4.3117 4.3117 2.6628 Å, 90.00 90.00 90.00°
Last column: nearest neighbours and their distance in Å.
Space group P4/mmm (No. 123)
One atom of each set of equivalent atoms:
Fe 0.0000 0.5000 0.0000  4 Ir 2.53, 2 Fe 2.66
Ir 0.0000 0.0000 0.5000  8 Fe 2.53, 2 Ir 2.66

# 4
A relaxed structure of KAgRu2, computed with GGA-PBE.

Results
total moment = 1.2 μB per cell
D(E_F) = 1.680 states/eV per atom
energy above the most stable polymorph in this dataset = 674 meV per atom
formation energy from the elements = 1216 meV/atom

Cell: 3.4834 3.4834 7.4309 Å, 90.00 90.00 90.00°
Last column: nearest neighbours and their distance in Å.
Space group P4/mmm (No. 123)
One atom of each set of equivalent atoms:
K 0.0000 0.0000 0.0000  4 K 3.48, 8 Ru 3.55, 2 Ag 3.72
Ag 0.0000 0.0000 0.5000  8 Ru 2.72
Ru 0.5000 0.5000 0.3433  1 Ru 2.33

# 5
A relaxed structure of FeReIr4, computed with GGA-PBE.

Results
total moment = 9.9 μB per cell
D(E_F) = 1.391 states/eV per atom
energy above the most stable polymorph in this dataset = 669 meV per atom
formation energy from the elements = 558 meV/atom

Cell: 7.2059 7.2059 7.2059 Å, 90.00 90.00 90.00°
Last column: nearest neighbours and their distance in Å.
Space group F-43m (No. 216)
One atom of each set of equivalent atoms:
Fe 0.0000 0.0000 0.0000  12 Ir 2.99, 4 Re 3.12
Re 0.2500 0.2500 0.2500  12 Ir 2.99, 4 Fe 3.12
Ir 0.1251 0.1251 0.6251  6 Ir 2.54-2.55

# 6
A relaxed structure of AuSN2F, computed with GGA-PBE.

Results
total moment = 0.0 μB per cell
D(E_F) = 0.863 states/eV per atom
energy above the most stable polymorph in this dataset = 0 meV per atom

Cell: 3.3656 3.3656 6.6800 Å, 90.00 90.00 90.00°
Last column: nearest neighbours and their distance in Å.
Space group P4/mmm (No. 123)
One atom of each set of equivalent atoms:
Au 0.0000 0.0000 0.0000  4 F 2.38
S 0.5000 0.5000 0.5000  4 N 1.68
N 0.0000 0.5000 0.5000  2 S 1.68
F 0.5000 0.5000 0.0000  4 Au 2.38

# 7
A relaxed structure of CsNaCa2Si, computed with GGA-PBE.

Results
total moment = 0.0 μB per cell
uncorrected energy = -2.25 eV per atom
D(E_F) = 0.135 states/eV per atom

Cell: 5.8124 5.8124 7.2517 Å, 90.00 90.00 90.00°
Last column: nearest neighbours and their distance in Å.
Space group P4/mmm (No. 123)
One atom of each set of equivalent atoms:
Cs 0.0000 0.0000 0.0000  2 Si 3.63
Na 0.5000 0.5000 0.0000  4 Cs 4.11
Ca 0.0000 0.5000 0.5000  2 Si 2.91
Si 0.0000 0.0000 0.5000  4 Ca 2.91

# 8
A relaxed structure of Nd2Sm6Tm3Sc, computed with GGA-PBE.

Results
total moment = 0.0 μB per cell
D(E_F) = 1.263 states/eV per atom
formation energy from the elements = 28 meV/atom

Cell: 6.1915 10.7244 11.8031 Å, 90.00 100.07 90.00°
Last column: nearest neighbours and their distance in Å.
Space group C2/m (No. 12)
One atom of each set of equivalent atoms:
Nd 0.0000 0.1666 0.0000  3 Nd 3.57-3.58, 3 Sc 3.57-3.58, 6 Sm 3.59
Sm 0.2465 0.5000 0.7474  3 Tm 3.53-3.55, 6 Sm 3.54-3.59, 1 Sc 3.58, 2 Nd 3.59
Sm 0.2484 0.3352 0.2522  3 Tm 3.54-3.56, 6 Sm 3.54-3.59, 1 Sc 3.57, 2 Nd 3.59
Tm 0.0000 0.0000 0.5000  6 Sm 3.54-3.55, 6 Tm 3.57-3.58
Tm 0.0000 0.3338 0.5000  6 Sm 3.53-3.56, 6 Tm 3.57-3.58
Sc 0.0000 0.5000 0.0000  6 Sm 3.57-3.58, 6 Nd 3.57-3.58

# 9
A relaxed structure of Gd2InGa, computed with GGA-PBE.

Results
total moment = 57.3 μB per cell
D(E_F) = 0.599 states/eV per atom
energy above the most stable polymorph in this dataset = 23 meV per atom
formation energy from the elements = -512 meV/atom

Cell: 7.4366 7.4366 7.4366 Å, 90.00 90.00 90.00°
Last column: nearest neighbours and their distance in Å.
Space group Fm-3m (No. 225)
One atom of each set of equivalent atoms:
Gd 0.2500 0.2500 0.2500  4 In 3.22, 4 Ga 3.22
In 0.0000 0.0000 0.0000  8 Gd 3.22
Ga 0.0000 0.0000 0.5000  8 Gd 3.22

# 10
A relaxed structure of CrRePb2, computed with GGA-PBE.

Results
total moment = 4.9 μB per cell
D(E_F) = 1.051 states/eV per atom
energy above the most stable polymorph in this dataset = 637 meV per atom
formation energy from the elements = 1045 meV/atom

Cell: 4.1807 4.1807 9.3592 Å, 90.00 90.00 90.00°
Last column: nearest neighbours and their distance in Å.
Space group I-4m2 (No. 119)
One atom of each set of equivalent atoms:
Cr 0.0000 0.0000 0.0000  8 Pb 2.96-3.14, 4 Re 3.14
Re 0.0000 0.5000 0.2500  8 Pb 2.96-3.14, 4 Cr 3.14
Pb 0.0000 0.0000 0.5000  4 Cr 2.96, 4 Pb 3.14, 4 Re 3.14
Pb 0.0000 0.5000 0.7500  4 Re 2.96, 4 Cr 3.14, 4 Pb 3.14

# 11
A relaxed structure of MnPbBr4, computed with GGA-PBE.

Results
total moment = 5.0 μB per cell
D(E_F) = 0.000 states/eV per atom
energy above the most stable polymorph in this dataset = 0 meV per atom

Cell: 7.4117 4.1123 7.5585 Å, 90.00 105.95 90.00°
Last column: nearest neighbours and their distance in Å.
Space group P2/m (No. 10)
One atom of each set of equivalent atoms:
Mn 0.0000 0.0000 0.0000  6 Br 2.70-2.76
Pb 0.5000 0.5000 0.0000  6 Br 3.04-3.05
Br 0.0841 0.5000 0.7925  2 Mn 2.76, 1 Pb 3.05
Br 0.3536 0.0000 0.2232  1 Mn 2.70

# 12
A relaxed structure of Pu2InFe, computed with GGA-PBE.

Results
total moment = 9.2 μB per cell
D(E_F) = 2.480 states/eV per atom
formation energy from the elements = -84 meV/atom

Cell: 3.1928 3.1928 8.5441 Å, 90.00 90.00 90.00°
Last column: nearest neighbours and their distance in Å.
Space group P4/mmm (No. 123)
One atom of each set of equivalent atoms:
Pu 0.0000 0.0000 0.2067  4 Fe 2.87, 4 Pu 3.19
In 0.5000 0.5000 0.5000  4 In 3.19, 8 Pu 3.37
Fe 0.5000 0.5000 0.0000  8 Pu 2.87, 4 Fe 3.19

What is the total moment in the twelfth record?
9.2 μB per cell

What is the D(E_F) in the eleventh record?
0.000 states/eV per atom